Here is a geometry-optimized TiTcS2Cl structure from the Alexandria database. Energies are from PBE.

Lattice parameters (Å, degrees): 4.754 4.754 4.669 90.00 90.00 90.00
Space group P4/mmm (No. 123)
One atom of each set of equivalent atoms:
Ti: 0.000 0.000 0.000 [1 per cell]
Tc: 0.500 0.500 0.500 [1 per cell]
S: 0.000 0.500 0.000 [2 per cell]
Cl: 0.000 0.000 0.500 [1 per cell]

E_tot (eV/atom): -5.637
DOS(E_F) (states/eV per atom): 0.667
Energy above the most stable polymorph in this dataset (eV per formula unit): 0.00
E_form (uncorrected) (kJ/mol of formula units): 17

=====

Here is a geometry-optimized RbTi3Ga structure from the Alexandria database. Energies are from PBE.

Lattice parameters (Å, degrees): 4.689 4.689 4.689 90.00 90.00 90.00
Space group Pm-3m (No. 221)
One atom of each set of equivalent atoms:
Rb: 0.000 0.000 0.000 [1 per cell]
Ti: 0.000 0.000 0.500 [3 per cell]
Ga: 0.500 0.500 0.500 [1 per cell]

E_tot (eV/atom): -3.564
DOS(E_F) (states/eV per atom): 0.590
Energy above the most stable polymorph in this dataset (eV per formula unit): 4.88
Energy of formation from the pure elements (kJ per mole of atoms): 190.3

=====

Here is a geometry-optimized Ce8ThOs6 structure from the Alexandria database. Energies are from PBE.

Lattice parameters (Å, degrees): 8.0369 8.0369 19.2123 90.00 90.00 120.00
Space group R-3 (No. 148, hexagonal axes)
One atom of each set of equivalent atoms:
Ce: 0.0000 0.0000 0.1638 [6 per cell]
Ce: 0.0020 0.6758 0.7132 [18 per cell]
Th: 0.0000 0.0000 0.5000 [3 per cell]
Os: 0.0012 0.3389 0.4489 [18 per cell]

E_tot (eV/atom): -8.292
DOS(E_F) (states/eV per atom): 1.795
Energy of formation from the pure elements (kJ per mole of atoms): -13.5

=====

Here is a geometry-optimized Tc3WSe structure from the Alexandria database. Energies are from PBE.

Lattice parameters (Å, degrees): 4.738 4.738 4.738 90.00 90.00 90.00
Space group Pm-3m (No. 221)
One atom of each set of equivalent atoms:
Tc: 0.000 0.000 0.500 [3 per cell]
W: 0.000 0.000 0.000 [1 per cell]
Se: 0.500 0.500 0.500 [1 per cell]

E_tot (eV/atom): -7.647
DOS(E_F) (states/eV per atom): 1.344
Energy above the most stable polymorph in this dataset (eV per formula unit): 2.48
E_form (uncorrected) (kJ/mol of formula units): 897

=====

Here is a geometry-optimized Na3Sr6Mg structure from the Alexandria database. Energies are from PBE.

Lattice parameters (Å, degrees): 11.057 6.327 13.542 90.00 105.10 90.00
Space group P2_1/m (No. 11)
One atom of each set of equivalent atoms:
Na: 0.041 0.250 0.397 [2 per cell]
Na: 0.144 0.750 0.208 [2 per cell]
Na: 0.263 0.250 0.988 [2 per cell]
Sr: 0.036 0.750 0.901 [2 per cell]
Sr: 0.146 0.250 0.686 [2 per cell]
Sr: 0.274 0.750 0.498 [2 per cell]
Sr: 0.353 0.750 0.801 [2 per cell]
Sr: 0.355 0.250 0.321 [2 per cell]
Sr: 0.429 0.750 0.111 [2 per cell]
Mg: 0.444 0.250 0.616 [2 per cell]

E_tot (eV/atom): -1.540
DOS(E_F) (states/eV per atom): 0.923
Energy above the most stable polymorph in this dataset (eV per formula unit): 0.00
Energy of formation from the pure elements (kJ per mole of atoms): 2.4

=====

Here is a geometry-optimized TlFeP2 structure from the Alexandria database. Energies are from PBE.

Lattice parameters (Å, degrees): 3.786 3.786 10.157 90.00 90.00 90.00
Space group I-4m2 (No. 119)
One atom of each set of equivalent atoms:
Tl: 0.000 0.000 0.000 [2 per cell]
Fe: 0.000 0.500 0.750 [2 per cell]
P: 0.000 0.000 0.500 [2 per cell]
P: 0.000 0.500 0.250 [2 per cell]

E_tot (eV/atom): -4.632
DOS(E_F) (states/eV per atom): 1.010
Energy above the most stable polymorph in this dataset (eV per formula unit): 3.26
Energy of formation from the pure elements (kJ per mole of atoms): 75.3